Entry 1:
Computed, not measured: a relaxed CeGdCuRu crystal at the PBE level of DFT.

Spin magnetization = 7.3 μB per formula unit
Electronic total energy = -0.6301 Ry/atom
Symmetry = No. 216

a b c (Å): 4.915 4.915 4.915
angles (deg): 60.00 60.00 60.00
Fractional coordinates of all 4 atoms:
Ce 0.000 0.000 0.000
Gd 0.500 0.500 0.500
Cu 0.250 0.250 0.250
Ru 0.750 0.750 0.750

Entry 2:
Computed, not measured: a relaxed LiAc2CdPd6 crystal at the PBE level of DFT.

Spin magnetization = 0.0 μB per formula unit
Electronic total energy = -0.3527 Ry/atom
Symmetry = No. 12

a b c (Å): 6.737 6.737 8.758
angles (deg): 129.04 129.04 48.99
Fractional coordinates of all 10 atoms:
Li 0.000 0.000 0.000
Ac 0.252 0.252 0.718
Ac 0.748 0.748 0.282
Cd 0.500 0.500 0.500
Pd 0.235 0.743 0.750
Pd 0.248 0.248 0.071
Pd 0.257 0.765 0.250
Pd 0.743 0.235 0.750
Pd 0.752 0.752 0.929
Pd 0.765 0.257 0.250

Entry 3:
Computed, not measured: a relaxed La2MgBiRu crystal at the PBE level of DFT.

Spin magnetization = 0.0 μB per formula unit
Electronic total energy = -0.3959 Ry/atom
Symmetry = No. 123

a b c (Å): 5.384 5.384 5.117
angles (deg): 90.00 90.00 90.00
Fractional coordinates of all 5 atoms:
La 0.000 0.500 0.000
La 0.500 0.000 0.000
Mg 0.000 0.000 0.500
Bi 0.500 0.500 0.500
Ru 0.000 0.000 0.000

Entry 4:
Computed, not measured: a relaxed Na2HoSc3Se6 crystal at the PBE level of DFT.

Energy relative to the elements, uncorrected = -1619 meV/atom
Spin magnetization = 0.0 μB per formula unit
Symmetry = No. 12

a b c (Å): 6.845 6.845 7.036
angles (deg): 99.34 99.34 119.95
Fractional coordinates of all 12 atoms:
Na 0.166 0.834 0.000
Na 0.834 0.166 0.000
Ho 0.500 0.500 0.000
Sc 0.000 0.000 0.500
Sc 0.332 0.668 0.500
Sc 0.668 0.332 0.500
Se 0.082 0.411 0.734
Se 0.261 0.261 0.268
Se 0.411 0.082 0.734
Se 0.589 0.918 0.266
Se 0.739 0.739 0.732
Se 0.918 0.589 0.266

Entry 5:
Computed, not measured: a relaxed LiCeHg2 crystal at the PBE level of DFT.

Spin magnetization = 0.8 μB per formula unit
Electronic total energy = -0.1813 Ry/atom
Symmetry = No. 225

a b c (Å): 5.149 5.149 5.149
angles (deg): 60.00 60.00 60.00
Fractional coordinates of all 4 atoms:
Li 0.000 0.000 0.000
Ce 0.500 0.500 0.500
Hg 0.250 0.250 0.250
Hg 0.750 0.750 0.750

Entry 6:
Computed, not measured: a relaxed TlFeTeW crystal at the PBE level of DFT.

Energy relative to the elements, uncorrected = 712 meV/atom
Spin magnetization = 1.1 μB per formula unit
Symmetry = No. 44

a b c (Å): 6.548 6.548 6.548
angles (deg): 151.31 141.94 48.35
Fractional coordinates of all 4 atoms:
Tl 0.000 0.000 0.000
Fe 0.482 0.482 0.000
Te 0.720 0.720 0.000
W 0.301 0.301 0.000

Entry 7:
Computed, not measured: a relaxed CdSbRhO6 crystal at the PBE level of DFT.

Energy relative to the elements, uncorrected = -996 meV/atom
Spin magnetization = 2.0 μB per formula unit
Symmetry = No. 163

a b c (Å): 5.291 5.291 9.694
angles (deg): 90.00 90.00 120.00
Fractional coordinates of all 18 atoms:
Cd 0.000 0.000 0.000
Cd 0.000 0.000 0.500
Sb 0.333 0.667 0.250
Sb 0.667 0.333 0.750
Rh 0.333 0.667 0.750
Rh 0.667 0.333 0.250
O 0.005 0.367 0.638
O 0.005 0.638 0.862
O 0.362 0.367 0.862
O 0.362 0.995 0.638
O 0.367 0.005 0.138
O 0.367 0.362 0.362
O 0.633 0.638 0.638
O 0.633 0.995 0.862
O 0.638 0.005 0.362
O 0.638 0.633 0.138
O 0.995 0.362 0.138
O 0.995 0.633 0.362

Entry 8:
Computed, not measured: a relaxed SbPdF2 crystal at the PBE level of DFT.

Energy relative to the elements, uncorrected = -831 meV/atom
Spin magnetization = 0.7 μB per formula unit
Symmetry = No. 166

a b c (Å): 8.368 8.368 8.368
angles (deg): 21.55 21.55 21.55
Fractional coordinates of all 4 atoms:
Sb 0.000 0.000 0.000
Pd 0.500 0.500 0.500
F 0.086 0.086 0.086
F 0.914 0.914 0.914

Entry 9:
Computed, not measured: a relaxed Y4HoTh3 crystal at the PBE level of DFT.

Spin magnetization = 0.0 μB per formula unit
Electronic total energy = -0.4818 Ry/atom
Symmetry = No. 59

a b c (Å): 5.045 10.112 10.131
angles (deg): 90.00 90.00 90.00
Fractional coordinates of all 16 atoms:
Y 0.250 0.001 0.129
Y 0.250 0.250 0.872
Y 0.250 0.499 0.129
Y 0.250 0.750 0.869
Y 0.750 0.250 0.131
Y 0.750 0.501 0.871
Y 0.750 0.750 0.128
Y 0.750 0.999 0.871
Ho 0.250 0.750 0.378
Ho 0.750 0.250 0.622
Th 0.250 0.250 0.377
Th 0.250 0.503 0.622
Th 0.250 0.997 0.622
Th 0.750 0.003 0.378
Th 0.750 0.497 0.378
Th 0.750 0.750 0.623

Entry 10:
Computed, not measured: a relaxed PdRuCl6 crystal at the PBE level of DFT.

Energy relative to the elements, uncorrected = -460 meV/atom
Spin magnetization = 2.1 μB per formula unit
Symmetry = No. 12

a b c (Å): 6.520 6.520 6.992
angles (deg): 105.41 105.41 115.18
Fractional coordinates of all 8 atoms:
Pd 0.000 0.000 0.000
Ru 0.000 0.000 0.500
Cl 0.142 0.853 0.756
Cl 0.147 0.858 0.244
Cl 0.374 0.374 0.688
Cl 0.626 0.626 0.312
Cl 0.853 0.142 0.756
Cl 0.858 0.147 0.244

Entry 11:
Computed, not measured: a relaxed Tb4Nd7Dy crystal at the PBE level of DFT.

Spin magnetization = 0.0 μB per formula unit
Electronic total energy = -0.3454 Ry/atom
Symmetry = No. 2

a b c (Å): 6.347 7.314 9.036
angles (deg): 90.03 103.59 90.04
Fractional coordinates of all 12 atoms:
Tb 0.220 0.000 0.166
Tb 0.278 0.249 0.832
Tb 0.722 0.751 0.168
Tb 0.780 0.000 0.834
Nd 0.000 0.000 0.500
Nd 0.221 0.500 0.166
Nd 0.280 0.751 0.834
Nd 0.500 0.248 0.501
Nd 0.500 0.752 0.499
Nd 0.720 0.249 0.166
Nd 0.779 0.500 0.834
Dy 0.000 0.500 0.500

Entry 12:
Computed, not measured: a relaxed Ho2TiAl2Ni5 crystal at the PBE level of DFT.

Spin magnetization = 0.0 μB per formula unit
Electronic total energy = -0.4235 Ry/atom
Symmetry = No. 127

a b c (Å): 9.805 9.805 3.223
angles (deg): 90.00 90.00 90.00
Fractional coordinates of all 20 atoms:
Ho 0.174 0.326 0.000
Ho 0.326 0.826 0.000
Ho 0.674 0.174 0.000
Ho 0.826 0.674 0.000
Ti 0.000 0.000 0.000
Ti 0.500 0.500 0.000
Al 0.125 0.625 0.000
Al 0.375 0.125 0.000
Al 0.625 0.875 0.000
Al 0.875 0.375 0.000
Ni 0.000 0.500 0.500
Ni 0.051 0.803 0.500
Ni 0.197 0.051 0.500
Ni 0.303 0.551 0.500
Ni 0.449 0.303 0.500
Ni 0.500 0.000 0.500
Ni 0.551 0.697 0.500
Ni 0.697 0.449 0.500
Ni 0.803 0.949 0.500
Ni 0.949 0.197 0.500